{"formula": "SrGe2Bi2", "functional": "GGA-PBE", "state": "relaxed", "vol_a3_per_atom": 30.177, "total_magnetization_mub_per_cell": 0.00, "dft_energy_ev_per_atom": -3.8466, "sg": "No. 139", "lattice": [[4.6478, 0.0000, 0.0000], [0.0000, 4.6478, 0.0000], [2.3239, 2.3239, 6.9848]], "species": ["Sr", "Bi", "Bi", "Ge", "Ge"], "fractional_positions": [[0.0000, 0.0000, 0.0000], [0.7500, 0.2500, 0.5000], [0.2500, 0.7500, 0.5000], [0.5869, 0.5869, 0.8261], [0.4131, 0.4131, 0.1739]]}